Computed, not measured: a relaxed structure of ZnNi2Pt6 at the GGA-PBE level of DFT.

As for the formation energy: -0.188 eV/atom.

It has space group P4_2/mnm (No. 136), with a = 8.153 Å, b = 8.153 Å, c = 3.918 Å, α = 90.00°, β = 90.00° and γ = 90.00°. The asymmetric unit holds Zn at (0.000, 0.000, 0.000), Ni at (0.172, 0.172, 0.500), Pt at (0.004, 0.326, 0.000) and Pt at (0.157, 0.843, 0.500).

***

Computed, not measured: a relaxed structure of Tm7Tl2Sn2 at the GGA-PBE level of DFT.

As for the formation energy: -0.085 eV/atom.

It has space group Cmmm (No. 65), with a = 7.976 Å, b = 11.044 Å, c = 7.579 Å, α = 90.00°, β = 90.00° and γ = 90.00°. The asymmetric unit holds Tm at (0.000, 0.000, 0.000), Tm at (0.000, 0.500, 0.261), Tm at (0.250, 0.250, 0.289), Tl at (0.000, 0.290, 0.000) and Sn at (0.181, 0.000, 0.500).

***

Computed, not measured: a relaxed structure of Sc2Mo at the GGA-PBE level of DFT.

As for the formation energy: 0.121 eV/atom.

It has space group Pnma (No. 62), with a = 6.001 Å, b = 4.555 Å, c = 8.749 Å, α = 90.00°, β = 90.00° and γ = 90.00°. The asymmetric unit holds Sc at (0.051, 0.250, 0.216), Sc at (0.180, 0.250, 0.560) and Mo at (0.197, 0.250, 0.879).

***

Computed, not measured: a relaxed structure of Ac3Sn2Rh4 at the GGA-PBE level of DFT.

As for the formation energy: -0.721 eV/atom.

It has space group C2/m (No. 12), with a = 10.866 Å, b = 4.513 Å, c = 9.130 Å, α = 90.00°, β = 97.39° and γ = 90.00°. The asymmetric unit holds Ac at (0.000, 0.000, 0.000), Ac at (0.123, 0.500, 0.382), Sn at (0.182, 0.500, 0.786), Rh at (0.089, 0.000, 0.635) and Rh at (0.221, 0.500, 0.086).

***

Computed, not measured: a relaxed structure of NbNiSnSe3 at the GGA-PBE level of DFT.

The uncorrected formation energy comes out at -11.13 kcal/mol of atoms.

It has space group P2_1/m (No. 11), with a = 7.982 Å, b = 3.616 Å, c = 9.846 Å, α = 90.00°, β = 111.00° and γ = 90.00°. The asymmetric unit holds Nb at (0.159, 0.250, 0.131), Ni at (0.436, 0.750, 0.374), Sn at (0.323, 0.750, 0.667), Se at (0.074, 0.250, 0.851), Se at (0.252, 0.250, 0.422) and Se at (0.400, 0.750, 0.125).

***

Computed, not measured: a relaxed structure of Sc3AlSi at the GGA-PBE level of DFT.

The uncorrected formation energy comes out at -3.24 kcal/mol of atoms.

It has space group Pm-3m (No. 221), with a = 4.967 Å, b = 4.967 Å, c = 4.967 Å, α = 90.00°, β = 90.00° and γ = 90.00°. The asymmetric unit holds Sc at (0.000, 0.000, 0.500), Al at (0.500, 0.500, 0.500) and Si at (0.000, 0.000, 0.000).

***

Computed, not measured: a relaxed structure of Er2TePt at the GGA-PBE level of DFT.

The uncorrected formation energy comes out at -29.58 kcal/mol of atoms.

It has space group R3m (No. 160, hexagonal axes), with a = 4.1633 Å, b = 4.1633 Å, c = 21.5018 Å, α = 90.00°, β = 90.00° and γ = 120.00°. The asymmetric unit holds Er at (0.0000, 0.0000, 0.0000), Er at (0.0000, 0.0000, 0.1961), Te at (0.0000, 0.0000, 0.4311) and Pt at (0.0000, 0.0000, 0.5973).

***

Table of total DFT energy (no corrections) (eV/atom), in record order: -5.642; -4.089; -7.710; -6.248; -5.534; -5.773; -5.860